# 1
Here is a relaxed structure of Nd2Sm4HoTh from Alexandria via LeMat-Bulk. Energies are from PBE.

a b c (Å): 6.0564 6.0541 9.4964
angles (deg): 50.47 90.00 90.00
Closest atoms and distances in Å follow each position.
Fractional coordinates of all 8 atoms:
1 Sm 0.0000 0.2529 0.2472  4 Nd 3.53-3.55, 2 Th 3.53, 2 Ho 3.55, 2 Sm 3.62-3.70
2 Sm 0.5000 0.7526 0.2473  2 Th 3.52-3.53, 4 Nd 3.53-3.55, 2 Ho 3.55, 2 Sm 3.62-3.70
3 Sm 0.5000 0.2474 0.7527  2 Th 3.52-3.53, 4 Nd 3.53-3.55, 2 Ho 3.55, 2 Sm 3.62-3.70
4 Sm 0.0000 0.7471 0.7528  4 Nd 3.53-3.55, 2 Th 3.53, 2 Ho 3.55, 2 Sm 3.62-3.70
5 Th 0.5000 0.5000 0.0000  8 Sm 3.52-3.53, 2 Nd 3.66
6 Nd 0.5000 0.0000 0.5000  8 Sm 3.55, 2 Th 3.66
7 Nd 0.0000 0.0000 0.0000  8 Sm 3.53, 2 Ho 3.66
8 Ho 0.0000 0.5000 0.5000  8 Sm 3.55, 2 Nd 3.66

---

# 2
Here is a relaxed structure of Ba2FeW from Alexandria via LeMat-Bulk. Energies are from PBE.

a b c (Å): 3.4070 3.4078 9.9987
angles (deg): 90.00 90.00 90.00
Closest atoms and distances in Å follow each position.
Fractional coordinates of all 4 atoms:
1 W 0.5000 0.5000 0.6517  4 Fe 2.48
2 Ba 0.5000 0.5000 0.3315  1 W 3.20, 4 Ba 3.41, 4 Fe 3.56
3 Ba 0.0000 0.0000 0.9227  1 Fe 3.29, 4 Ba 3.41, 4 W 3.63
4 Fe 0.0000 0.0000 0.5940  4 W 2.48

Calculated values
Energy above the lowest structure with this stoichiometry ... 3.79 kcal/mol of atoms

---

# 3
Here is a relaxed structure of LaNd3Co from Alexandria via LeMat-Bulk. Energies are from PBE.

a b c (Å): 7.4281 7.4281 7.4281
angles (deg): 109.22 109.84 109.35
Closest atoms and distances in Å follow each position.
Fractional coordinates of all 10 atoms:
1 Co 0.4027 0.0395 0.8632  1 La 2.50, 3 Nd 2.66
2 Co 0.1763 0.5395 0.1368  1 La 2.50, 3 Nd 2.66
3 Nd 0.0299 0.7379 0.7921  1 Co 2.66
4 Nd 0.0720 0.2351 0.7473  1 Co 2.66
5 Nd 0.4879 0.7351 0.6631  1 Co 2.66
6 Nd 0.9458 0.2379 0.2079  1 Co 2.66
7 Nd 0.4879 0.3247 0.2527  1 Co 2.66
8 Nd 0.0720 0.8247 0.3369  1 Co 2.66
9 La 0.5301 0.8211 0.2090  1 Co 2.50
10 La 0.6120 0.3211 0.7910  1 Co 2.50

Calculated values
Energy above the lowest structure with this stoichiometry ... 0.01 kcal/mol of atoms

---

no.,E_tot (eV/cell)
1,-39.33
2,-22.32
3,-53.35